Material: Ce5ReN8
Method: DFT, PBE-GGA
State: relaxed

```
Ce5ReN8
1.0
-3.701 3.701 3.879
3.701 -3.701 3.879
3.701 3.701 -3.879
Ce Re N
5 1 8
Direct
0.000 0.000 0.000
0.242 0.651 0.122
0.349 0.471 0.591
0.529 0.120 0.878
0.880 0.758 0.409
0.750 0.250 0.500
0.041 0.386 0.215
0.073 0.294 0.716
0.172 0.827 0.785
0.173 0.959 0.345
0.578 0.358 0.284
0.614 0.828 0.655
0.642 0.927 0.221
0.706 0.422 0.779
```

Formation energy without anion corrections, eV per atom: -0.981
N(E_F), states/eV per cell: 10.5
Total moment, μB per atom: 0.0841